(1)
5
Lattice="5.1718 0.0000 0.0000 0.0000 5.1718 0.0000 0.0000 0.0000 5.1718" Properties=species:S:1:pos:R:3 comment="NaCd3Sb | Alexandria via LeMat-Bulk | meta-GGA SCAN | PBEsol geometry" energy_ev_per_atom=-25.89 volume_a3_per_atom=27.67 e_form_raw_ev_per_atom=0.659 dos_at_fermi_per_ev_atom=0.52 m_tot_mub_per_fu=0.00 pbc="T T T"
Sb 2.5859 2.5859 2.5859
Na 0.0000 0.0000 0.0000
Cd 0.0000 2.5859 0.0000
Cd 0.0000 0.0000 2.5859
Cd 2.5859 0.0000 0.0000


(2)
5
Lattice="5.4423 0.0000 0.0000 0.0000 5.4423 0.0000 -2.7211 -2.7211 6.8741" Properties=species:S:1:pos:R:3 comment="Na2CdSe2 | Alexandria via LeMat-Bulk | meta-GGA SCAN | PBEsol geometry" energy_ev_per_atom=-16.68 volume_a3_per_atom=40.72 e_form_raw_ev_per_atom=-0.879 dos_at_fermi_per_ev_atom=0.00 m_tot_mub_per_fu=0.00 pbc="T T T"
Na 0.0000 2.7211 3.4371
Na 2.7211 0.0000 3.4371
Se 0.0000 0.0000 2.4205
Se 2.7211 2.7211 4.4536
Cd 0.0000 0.0000 0.0000